8
Lattice="0.0000 4.3387 4.3387 4.3387 0.0000 4.3387 4.3387 4.3387 0.0000" Properties=species:S:1:pos:R:3 comment="Cd7Fe PBE-GGA optimized geometry" vol_a3_per_atom=20.42 magmom_total_mub_per_cell=2.62 ef_ev_per_atom=0.1561 rho_g_cm3=8.57 dos_ef_per_ev_atom=0.489 pbc="T T T"
Cd 0.0000 2.1694 2.1694
Cd 2.1694 2.1694 0.0000
Cd 2.1694 4.3387 2.1694
Cd 2.1694 0.0000 2.1694
Cd 2.1694 2.1694 4.3387
Cd 4.3387 2.1694 2.1694
Cd 4.3387 4.3387 4.3387
Fe 0.0000 0.0000 0.0000